1.
A plane-wave DFT calculation with PBE was carried out for an optimized crystal structure of Li2CaTiI.

M_tot, μB/f.u.: 1.245
Symmetry: P4/mmm (123)
Formation energy without anion corrections, meV/atom: 256
Total energy, eV/atom: -2.80

Lattice parameters (Å, degrees): 5.1756 5.3255 5.1756 90.00 90.00 90.00
Each line ends with the local moment (μB).
Positions (direct):
Li: 0.5000 0.0000 0.0000  -0.03
Li: 0.0000 0.0000 0.5000  -0.03
I: 0.0000 0.0000 0.0000  -0.03
Ca: 0.5000 0.5000 0.5000  0.00
Ti: 0.0000 0.5000 0.0000  1.32

=====

2.
A plane-wave DFT calculation with PBE was carried out for an optimized crystal structure of LiCaTl2I5.

M_tot, μB/f.u.: 0.000
Symmetry: Cmc2_1 (36)
Formation energy without anion corrections, meV/atom: -1099
Total energy, eV/atom: -2.92

Lattice parameters (Å, degrees): 4.6294 10.4301 15.3221 90.00 90.00 102.82
Positions (direct):
I: 0.9483 0.8966 0.5349
I: 0.0517 0.1034 0.0349
I: 0.6401 0.2803 0.5020
I: 0.6944 0.3888 0.8877
I: 0.3599 0.7197 0.0020
I: 0.7180 0.4360 0.1691
I: 0.3056 0.6112 0.3877
I: 0.4969 0.9938 0.7775
I: 0.5031 0.0062 0.2775
I: 0.2820 0.5640 0.6691
Ca: 0.7927 0.5855 0.5287
Ca: 0.2073 0.4145 0.0287
Tl: 0.9034 0.8067 0.1663
Tl: 0.1266 0.2531 0.3230
Tl: 0.0966 0.1933 0.6663
Tl: 0.8734 0.7469 0.8230
Li: 0.5596 0.1191 0.9347
Li: 0.4404 0.8809 0.4347

=====

3.
A plane-wave DFT calculation with PBE was carried out for an optimized crystal structure of CaMg3I8.

M_tot, μB/f.u.: 0.000
Symmetry: C2/m (12)
Formation energy without anion corrections, meV/atom: -1179
Total energy, eV/atom: -2.78

Lattice parameters (Å, degrees): 8.5759 8.5770 9.2612 118.11 90.00 120.00
Positions (direct):
Ca: 0.0000 0.0000 0.0000
I: 0.7262 0.9755 0.2210
I: 0.2493 0.4986 0.2210
I: 0.7507 0.0245 0.7790
I: 0.2738 0.0245 0.7790
I: 0.2610 0.5220 0.7868
I: 0.2493 0.9755 0.2210
I: 0.7507 0.5014 0.7790
I: 0.7390 0.4780 0.2132
Mg: 0.0000 0.5000 0.0000
Mg: 0.5000 0.5000 0.0000
Mg: 0.5000 0.0000 0.0000

=====

4.
A plane-wave DFT calculation with PBE was carried out for an optimized crystal structure of CaMgI3.

M_tot, μB/f.u.: 1.000
Symmetry: Pm-3m (221)
Formation energy without anion corrections, meV/atom: -810
Total energy, eV/atom: -2.46
Polymorph energy (0 for the lowest one), kJ/mol of atoms: 0.0

Lattice parameters (Å, degrees): 6.1090 6.1090 6.1090 90.00 90.00 90.00
Each line ends with the local moment (μB).
Positions (direct):
I: 0.0000 0.5000 0.0000  0.04
I: 0.5000 0.0000 0.0000  0.02
I: 0.0000 0.0000 0.5000  0.03
Ca: 0.0000 0.0000 0.0000  0.00
Mg: 0.5000 0.5000 0.5000  0.21

=====

5.
A plane-wave DFT calculation with PBE was carried out for an optimized crystal structure of CaMg3I.

M_tot, μB/f.u.: 0.000
Symmetry: Pm-3m (221)
Formation energy without anion corrections, meV/atom: 386
Total energy, eV/atom: -1.28
Polymorph energy (0 for the lowest one), kJ/mol of atoms: 0.0

Lattice parameters (Å, degrees): 5.7575 5.7575 5.7575 90.00 90.00 90.00
Positions (direct):
Ca: 0.5000 0.5000 0.5000
Mg: 0.0000 0.5000 0.0000
Mg: 0.5000 0.0000 0.0000
Mg: 0.0000 0.0000 0.5000
I: 0.0000 0.0000 0.0000

=====

6.
A plane-wave DFT calculation with PBE was carried out for an optimized crystal structure of CaMgI3.

M_tot, μB/f.u.: 0.000
Symmetry: Pm-3m (221)
Formation energy without anion corrections, meV/atom: -774
Total energy, eV/atom: -2.42
Polymorph energy (0 for the lowest one), kJ/mol of atoms: 3.5

Lattice parameters (Å, degrees): 5.7357 5.7357 5.7357 90.00 90.00 90.00
Positions (direct):
Ca: 0.5000 0.5000 0.5000
I: 0.5000 0.0000 0.0000
I: 0.0000 0.5000 0.0000
I: 0.0000 0.0000 0.5000
Mg: 0.0000 0.0000 0.0000

=====

7.
A plane-wave DFT calculation with PBE was carried out for an optimized crystal structure of CaMgI2.

M_tot, μB/f.u.: 0.000
Symmetry: I-42d (122)
Formation energy without anion corrections, meV/atom: -759
Total energy, eV/atom: -2.43
Polymorph energy (0 for the lowest one), kJ/mol of atoms: 0.0

Lattice parameters (Å, degrees): 9.5438 9.5438 7.8161 52.37 52.37 90.00
Positions (direct):
Ca: 0.7500 0.2500 0.5000
Ca: 0.0000 0.0000 0.0000
I: 0.7027 0.1250 0.2500
I: 0.8750 0.9527 0.7500
I: 0.0473 0.6250 0.2500
I: 0.3750 0.2973 0.7500
Mg: 0.2500 0.7500 0.5000
Mg: 0.5000 0.5000 0.0000

=====

8.
A plane-wave DFT calculation with PBE was carried out for an optimized crystal structure of CaMgI2.

M_tot, μB/f.u.: 0.000
Symmetry: Fm-3m (225)
Formation energy without anion corrections, meV/atom: -696
Total energy, eV/atom: -2.37
Polymorph energy (0 for the lowest one), kJ/mol of atoms: 6.1

Lattice parameters (Å, degrees): 5.6923 5.6923 5.6923 60.00 60.00 60.00
Positions (direct):
I: 0.7500 0.7500 0.7500
I: 0.2500 0.2500 0.2500
Ca: 0.5000 0.5000 0.5000
Mg: 0.0000 0.0000 0.0000

=====

9.
A plane-wave DFT calculation with PBE was carried out for an optimized crystal structure of CaMg2I6.

M_tot, μB/f.u.: 0.000
Symmetry: C2/m (12)
Formation energy without anion corrections, meV/atom: -1176
Total energy, eV/atom: -2.79
Polymorph energy (0 for the lowest one), kJ/mol of atoms: 5.1

Lattice parameters (Å, degrees): 4.5245 7.7653 12.4045 84.66 90.00 106.94
Positions (direct):
I: 0.8477 0.6954 0.1188
I: 0.6333 0.2666 0.5684
I: 0.1032 0.2064 0.2693
I: 0.1523 0.3046 0.8812
I: 0.3667 0.7334 0.4316
I: 0.8968 0.7936 0.7307
Mg: 0.7134 0.4268 0.7665
Mg: 0.2866 0.5732 0.2335
Ca: 0.0000 0.0000 0.5000

=====

10.
A plane-wave DFT calculation with PBE was carried out for an optimized crystal structure of CaMg3I.

M_tot, μB/f.u.: 0.000
Symmetry: Pm-3m (221)
Formation energy without anion corrections, meV/atom: 530
Total energy, eV/atom: -1.14
Polymorph energy (0 for the lowest one), kJ/mol of atoms: 13.9

Lattice parameters (Å, degrees): 6.3752 6.3752 6.3752 90.00 90.00 90.00
Positions (direct):
Mg: 0.0000 0.0000 0.5000
Mg: 0.5000 0.0000 0.0000
Mg: 0.0000 0.5000 0.0000
I: 0.5000 0.5000 0.5000
Ca: 0.0000 0.0000 0.0000

=====

11.
A plane-wave DFT calculation with PBE was carried out for an optimized crystal structure of CaMgI2.

M_tot, μB/f.u.: 0.000
Symmetry: R-3m (166)
Formation energy without anion corrections, meV/atom: -620
Total energy, eV/atom: -2.29
Polymorph energy (0 for the lowest one), kJ/mol of atoms: 13.4

Lattice parameters (Å, degrees): 4.1674 4.1674 10.5843 78.65 78.65 60.00
Positions (direct):
I: 0.8891 0.8891 0.3327
I: 0.1109 0.1109 0.6673
Ca: 0.0000 0.0000 0.0000
Mg: 0.5000 0.5000 0.5000

=====

12.
A plane-wave DFT calculation with PBE was carried out for an optimized crystal structure of CaMg5I12.

M_tot, μB/f.u.: 0.000
Symmetry: C2/m (12)
Formation energy without anion corrections, meV/atom: -1135
Total energy, eV/atom: -2.72

Lattice parameters (Å, degrees): 7.3677 7.3710 15.7358 89.97 89.93 60.02
Positions (direct):
I: 0.3517 0.0000 0.1100
I: 0.0002 0.3519 0.8900
I: 0.9998 0.6481 0.1100
I: 0.6480 0.3519 0.1100
I: 0.1671 0.3332 0.3945
I: 0.5003 0.6668 0.3945
I: 0.1662 0.0000 0.6056
I: 0.3520 0.6481 0.8900
I: 0.8329 0.6668 0.6055
I: 0.8338 0.0000 0.3944
I: 0.4997 0.3332 0.6055
I: 0.6483 0.0000 0.8900
Mg: 0.6666 0.6668 0.0000
Mg: 0.5000 0.0000 0.5000
Mg: 0.3334 0.3332 0.0000
Mg: 0.1666 0.6668 0.5000
Mg: 0.8334 0.3332 0.5000
Ca: 0.0000 0.0000 0.0000

=====

Repeat the eleventh record exactly.
A plane-wave DFT calculation with PBE was carried out for an optimized crystal structure of CaMgI2.

M_tot, μB/f.u.: 0.000
Symmetry: R-3m (166)
Formation energy without anion corrections, meV/atom: -620
Total energy, eV/atom: -2.29
Polymorph energy (0 for the lowest one), kJ/mol of atoms: 13.4

Lattice parameters (Å, degrees): 4.1674 4.1674 10.5843 78.65 78.65 60.00
Positions (direct):
I: 0.8891 0.8891 0.3327
I: 0.1109 0.1109 0.6673
Ca: 0.0000 0.0000 0.0000
Mg: 0.5000 0.5000 0.5000

=====

- total energy of number 12 (CaMg5I12)?
  -2.72 eV/atom

=====

- Which value of total energy does entry 8 give?
  -2.37 eV/atom